First-principles (PBE-GGA) data for a relaxed structure of LiMg6Ag2, as listed in the Alexandria database.

Distance to the lowest polymorph of the same formula (eV per formula unit): 0.00
Energy of formation from the pure elements (eV per atom): -0.135
Theoretical density (kg/m3): 3462

Lattice parameters (Å, degrees): 4.8026 4.8026 8.8481 90.00 90.00 120.00
Atoms (fractional coordinates):
Li1 0.0000 0.0000 0.0000
Mg1 0.0000 0.0000 0.3154
Mg2 0.0000 0.0000 0.6846
Mg3 0.3333 0.6667 0.5524
Mg4 0.3333 0.6667 0.8970
Mg5 0.6667 0.3333 0.1030
Mg6 0.6667 0.3333 0.4476
Ag1 0.3333 0.6667 0.2225
Ag2 0.6667 0.3333 0.7775